Mn2FeCo: relaxed, GGA-PBE.

## Properties
magnetization	6.724	μB per formula unit
crystal system	cubic
relative energy among the computed polymorphs	0.329	eV per formula unit

a = 4.0069 Å, b = 4.0069 Å, c = 4.0069 Å
α = 60.00°, β = 60.00°, γ = 60.00°
Site moments in Bohr magnetons follow the coordinates.
Fractional coordinates of all 4 atoms:
Mn  0.2500  0.2500  0.2500  2.41
Mn  0.0000  0.0000  0.0000  0.22
Co  0.5000  0.5000  0.5000  1.52
Fe  0.7500  0.7500  0.7500  2.58

***

CrCdAs2: relaxed, GGA-PBE.

## Properties
magnetization	0.000	μB per formula unit
crystal system	orthorhombic

a = 6.4468 Å, b = 6.4468 Å, c = 6.4468 Å
α = 154.14°, β = 135.66°, γ = 52.04°
Fractional coordinates of all 4 atoms:
As  0.9158  0.9158  0.0000
As  0.5842  0.5842  0.0000
Cr  0.7500  0.2500  0.5000
Cd  0.2500  0.7500  0.5000

***

no.,energy (eV per atom),DFT formation energy (eV/atom)
1,-8.385,0.092
2,-4.783,0.176